Record 1
Here is an optimized crystal structure of ReAgPS2 from Alexandria. Energies are from PBE.

Structure (POSCAR):
```
ReAgPS2
1.0
4.685 0.000 0.000
0.000 4.685 0.000
0.000 0.000 4.647
Re Ag P S
1 1 1 2
direct
0.000 0.000 0.000
0.500 0.500 0.500
0.000 0.000 0.500
0.000 0.500 0.000
0.500 0.000 0.000
```

Calculated values
* energy above the lowest structure with this stoichiometry: 0.000 kcal/mol of atoms
* formation energy from raw total energies: 0.5507 eV/atom
* total magnetic moment: 0.000 Bohr magnetons per cell
* energy: -5.2421 eV/atom
* space-group type: P4/mmm (123)


Record 2
Here is an optimized crystal structure of Er4MnGe8 from Alexandria. Energies are from PBE.

Structure (POSCAR):
```
Er4MnGe8
1.0
3.986 0.000 0.000
0.000 4.147 0.000
0.000 0.000 15.882
Er Mn Ge
4 1 8
direct
0.000 0.000 0.000
0.000 0.500 0.490
0.500 0.000 0.788
0.500 0.500 0.288
0.000 0.500 0.703
0.000 0.000 0.333
0.000 0.000 0.630
0.000 0.500 0.141
0.000 0.500 0.853
0.500 0.000 0.146
0.500 0.000 0.441
0.500 0.500 0.623
0.500 0.500 0.959
```

Calculated values
* energy of formation: -0.5528 eV per atom
* total magnetic moment: 2.547 Bohr magnetons per cell
* energy: -5.5036 eV/atom
* space-group type: Pmm2 (25)


Record 3
Here is an optimized crystal structure of Na2NbFe from Alexandria. Energies are from PBE.

Structure (POSCAR):
```
Na2NbFe
1.0
10.063 0.000 0.000
0.000 10.063 0.000
0.000 0.000 4.340
Na Nb Fe
8 4 4
direct
0.130 0.250 0.125
0.250 0.630 0.375
0.250 0.870 0.875
0.370 0.250 0.625
0.630 0.750 0.625
0.750 0.130 0.875
0.750 0.370 0.375
0.870 0.750 0.125
0.000 0.000 0.500
0.000 0.500 0.750
0.500 0.000 0.250
0.500 0.500 0.000
0.000 0.000 0.000
0.000 0.500 0.250
0.500 0.000 0.750
0.500 0.500 0.500
```

Calculated values
* energy above the lowest structure with this stoichiometry: 0.000 kcal/mol of atoms
* energy of formation: 1.3037 eV per atom
* total magnetic moment: 0.001 Bohr magnetons per cell
* energy: -3.9890 eV/atom
* space-group type: I-42d (122)


Record 4
Here is an optimized crystal structure of RbReP2Cl from Alexandria. Energies are from PBE.

Structure (POSCAR):
```
RbReP2Cl
1.0
5.249 0.000 0.000
0.000 5.249 0.000
0.000 0.000 5.316
Rb Re P Cl
1 1 2 1
direct
0.000 0.000 0.000
0.500 0.500 0.500
0.000 0.500 0.000
0.500 0.000 0.000
0.000 0.000 0.500
```

Calculated values
* energy above the lowest structure with this stoichiometry: 68.753 kcal/mol of atoms
* formation energy from raw total energies: 2.7772 eV/atom
* total magnetic moment: 0.244 Bohr magnetons per cell
* energy: -2.4392 eV/atom
* space-group type: P4/mmm (123)


Record 5
Here is an optimized crystal structure of NpScHg2O6 from Alexandria. Energies are from PBE.

Structure (POSCAR):
```
NpScHg2O6
1.0
5.712 0.000 0.000
0.000 5.847 0.000
-5.663 0.000 8.290
Np Sc Hg O
2 2 4 12
direct
0.000 0.000 0.000
0.000 0.500 0.500
0.500 0.000 0.500
0.500 0.500 0.000
0.245 0.025 0.748
0.245 0.475 0.248
0.755 0.525 0.752
0.755 0.975 0.252
0.148 0.202 0.450
0.148 0.298 0.950
0.248 0.700 0.450
0.248 0.800 0.950
0.347 0.032 0.251
0.347 0.468 0.751
0.653 0.532 0.249
0.653 0.968 0.749
0.752 0.200 0.050
0.752 0.300 0.550
0.852 0.702 0.050
0.852 0.798 0.550
```

Calculated values
* formation energy from raw total energies: -1.9558 eV/atom
* total magnetic moment: 3.223 Bohr magnetons per cell
* energy: -6.9183 eV/atom
* space-group type: P2_1/c (14)


Record 6
Here is an optimized crystal structure of Ta3AlH7 from Alexandria. Energies are from PBE.

Structure (POSCAR):
```
Ta3AlH7
1.0
3.363 -3.079 0.000
3.363 3.079 0.000
-2.549 0.000 4.386
Ta Al H
3 1 7
direct
0.000 0.000 0.000
0.256 0.712 0.482
0.712 0.256 0.482
0.414 0.414 0.967
0.073 0.592 0.718
0.100 0.100 0.713
0.398 0.887 0.240
0.592 0.073 0.718
0.635 0.635 0.783
0.858 0.858 0.239
0.887 0.398 0.240
```

Calculated values
* total magnetic moment: 0.000 Bohr magnetons per cell
* energy: -5.7009 eV/atom
* space-group type: Cm (8)